1.
Here is a relaxed LiSiW2 crystal from Alexandria. Energies are from PBEsol.

a = 5.233 Å, b = 5.395 Å, c = 5.395 Å
α = 76.40°, β = 60.99°, γ = 60.99°
Fractional positions:
1 Li 0.250 0.500 0.500
2 Si 0.750 0.500 0.500
3 W 0.875 0.492 0.008
4 W 0.633 0.992 0.492
5 Si 0.000 0.000 0.000
6 W 0.375 0.508 0.992
7 Li 0.500 0.000 0.000
8 W 0.117 0.008 0.508

Calculated values
**Electronic total energy**: -8.137 eV per atom
**Raw formation energy**: 0.695 eV/atom
**SG**: I-42d, No. 122
**Crystal system**: tetragonal
**M_tot**: 0.000 μB/atom

2.
Here is a relaxed Y3FeBr crystal from Alexandria. Energies are from PBEsol.

a = 5.146 Å, b = 5.146 Å, c = 5.146 Å
α = 90.00°, β = 90.00°, γ = 90.00°
Fractional positions:
1 Y 0.000 0.000 0.500
2 Y 0.500 0.000 0.000
3 Y 0.000 0.500 0.000
4 Fe 0.000 0.000 0.000
5 Br 0.500 0.500 0.500

Calculated values
**Electronic total energy**: -6.342 eV per atom
**Raw formation energy**: -0.082 eV/atom
**SG**: Pm-3m, No. 221
**Crystal system**: cubic
**M_tot**: 0.000 μB/atom

3.
Here is a relaxed LaRe3C crystal from Alexandria. Energies are from PBEsol.

a = 4.251 Å, b = 4.251 Å, c = 4.251 Å
α = 90.00°, β = 90.00°, γ = 90.00°
Last column: magnetic moment on the atom in μB.
Fractional positions:
1 La 0.500 0.500 0.500  -0.11
2 Re 0.000 0.000 0.500  -0.40
3 Re 0.500 0.000 0.000  -0.40
4 Re 0.000 0.500 0.000  -0.40
5 C 0.000 0.000 0.000  0.02

Calculated values
**Electronic total energy**: -10.489 eV per atom
**E_form**: 0.51 eV/atom
**SG**: Pm-3m, No. 221
**Excess energy over the best structure of this formula in the dataset**: 0 meV per atom
**Crystal system**: cubic
**M_tot**: 0.289 μB/atom

4.
Here is a relaxed K2ScSnAs3O12 crystal from Alexandria. Energies are from PBEsol.

a = 10.384 Å, b = 10.384 Å, c = 10.384 Å
α = 90.00°, β = 90.00°, γ = 90.00°
Fractional positions:
1 O 0.287 0.949 0.309
2 O 0.553 0.175 0.986
3 O 0.093 0.807 0.730
4 O 0.486 0.947 0.825
5 K 0.046 0.046 0.046
6 O 0.765 0.035 0.526
7 Sc 0.612 0.612 0.612
8 O 0.713 0.449 0.191
9 O 0.407 0.193 0.230
10 As 0.118 0.968 0.705
11 O 0.593 0.693 0.270
12 O 0.675 0.514 0.447
13 O 0.191 0.713 0.449
14 O 0.270 0.593 0.693
15 O 0.965 0.026 0.735
16 O 0.175 0.986 0.553
17 O 0.035 0.526 0.765
18 K 0.454 0.954 0.546
19 As 0.968 0.705 0.118
20 O 0.535 0.974 0.235
21 K 0.187 0.313 0.687
22 O 0.449 0.191 0.713
23 O 0.787 0.551 0.691
24 O 0.465 0.474 0.265
25 O 0.051 0.809 0.213
26 O 0.526 0.765 0.035
27 O 0.026 0.735 0.965
28 O 0.974 0.235 0.535
29 Sn 0.840 0.160 0.660
30 O 0.053 0.325 0.014
31 K 0.313 0.687 0.187
32 O 0.770 0.907 0.307
33 O 0.807 0.730 0.093
34 K 0.546 0.454 0.954
35 O 0.474 0.265 0.465
36 Sc 0.112 0.888 0.388
37 O 0.693 0.270 0.593
38 O 0.907 0.307 0.770
39 O 0.447 0.675 0.514
40 O 0.213 0.051 0.809
41 O 0.691 0.787 0.551
42 As 0.468 0.795 0.882
43 O 0.949 0.309 0.287
44 O 0.325 0.014 0.053
45 K 0.954 0.546 0.454
46 O 0.825 0.486 0.947
47 O 0.193 0.230 0.407
48 K 0.687 0.187 0.313
49 As 0.205 0.382 0.032
50 O 0.986 0.553 0.175
51 As 0.618 0.532 0.295
52 Sc 0.388 0.112 0.888
53 Sn 0.340 0.340 0.340
54 O 0.809 0.213 0.051
55 O 0.551 0.691 0.787
56 As 0.705 0.118 0.968
57 Sn 0.660 0.840 0.160
58 O 0.309 0.287 0.949
59 As 0.795 0.882 0.468
60 Sn 0.160 0.660 0.840
61 O 0.735 0.965 0.026
62 O 0.514 0.447 0.675
63 As 0.532 0.295 0.618
64 As 0.295 0.618 0.532
65 O 0.014 0.053 0.325
66 O 0.265 0.465 0.474
67 As 0.882 0.468 0.795
68 K 0.813 0.813 0.813
69 O 0.730 0.093 0.807
70 O 0.307 0.770 0.907
71 Sc 0.888 0.388 0.112
72 O 0.947 0.825 0.486
73 As 0.032 0.205 0.382
74 O 0.235 0.535 0.974
75 As 0.382 0.032 0.205
76 O 0.230 0.407 0.193

Calculated values
**Electronic total energy**: -6.604 eV per atom
**Raw formation energy**: -1.792 eV/atom
**SG**: P2_13, No. 198
**Crystal system**: cubic
**M_tot**: 0.000 μB/atom

5.
Here is a relaxed VSO5 crystal from Alexandria. Energies are from PBEsol.

a = 6.281 Å, b = 7.181 Å, c = 7.279 Å
α = 90.00°, β = 90.00°, γ = 90.00°
Last column: magnetic moment on the atom in μB.
Fractional positions:
1 S 0.250 0.873 0.876  0.01
2 S 0.750 0.627 0.376  0.01
3 O 0.064 0.371 0.747  0.00
4 O 0.250 0.708 0.998  0.01
5 O 0.564 0.629 0.253  0.00
6 O 0.250 0.049 0.984  0.01
7 O 0.564 0.129 0.247  0.00
8 O 0.064 0.871 0.753  0.00
9 V 0.750 0.840 0.768  0.99
10 V 0.250 0.660 0.268  0.99
11 O 0.750 0.792 0.498  0.01
12 O 0.750 0.951 0.016  0.01
13 O 0.250 0.382 0.183  -0.09
14 O 0.250 0.549 0.516  0.01
15 S 0.250 0.373 0.624  0.01
16 O 0.936 0.129 0.247  0.00
17 V 0.750 0.340 0.732  0.99
18 O 0.436 0.871 0.753  0.00
19 O 0.936 0.629 0.253  0.00
20 O 0.750 0.618 0.817  -0.09
21 O 0.250 0.208 0.502  0.01
22 O 0.750 0.292 0.002  0.01
23 V 0.250 0.160 0.232  0.99
24 S 0.750 0.127 0.124  0.01
25 O 0.436 0.371 0.747  0.00
26 O 0.250 0.882 0.317  -0.09
27 O 0.750 0.118 0.683  -0.09
28 O 0.750 0.451 0.484  0.01

Calculated values
**Electronic total energy**: -7.504 eV per atom
**Raw formation energy**: -1.752 eV/atom
**SG**: Pnma, No. 62
**Excess energy over the best structure of this formula in the dataset**: 0 meV per atom
**Crystal system**: orthorhombic
**M_tot**: 0.143 μB/atom

6.
Here is a relaxed PrBrO crystal from Alexandria. Energies are from PBEsol.

a = 4.077 Å, b = 4.077 Å, c = 7.293 Å
α = 90.00°, β = 90.00°, γ = 90.00°
Fractional positions:
1 Br 0.500 0.000 0.634
2 O 0.000 0.000 0.000
3 O 0.500 0.500 0.000
4 Br 0.000 0.500 0.366
5 Pr 0.500 0.000 0.162
6 Pr 0.000 0.500 0.838

Calculated values
**Electronic total energy**: -6.984 eV per atom
**Raw formation energy**: -2.883 eV/atom
**SG**: P4/nmm, No. 129
**Crystal system**: tetragonal
**M_tot**: 0.000 μB/atom

7.
Here is a relaxed LaFe2Ge2 crystal from Alexandria. Energies are from PBEsol.

a = 4.079 Å, b = 4.079 Å, c = 5.756 Å
α = 110.75°, β = 110.75°, γ = 90.00°
Fractional positions:
1 Fe 0.250 0.750 0.500
2 Fe 0.750 0.250 0.500
3 Ge 0.640 0.640 0.279
4 La 0.000 0.000 0.000
5 Ge 0.360 0.360 0.721

Calculated values
**Electronic total energy**: -7.136 eV per atom
**E_form**: -0.51 eV/atom
**SG**: I4/mmm, No. 139
**Crystal system**: tetragonal
**M_tot**: 0.000 μB/atom

8.
Here is a relaxed AgSe3 crystal from Alexandria. Energies are from PBEsol.

a = 6.750 Å, b = 7.435 Å, c = 7.275 Å
α = 90.00°, β = 90.00°, γ = 90.00°
Fractional positions:
1 Ag 0.750 0.403 0.152
2 Se 0.990 0.687 0.156
3 Ag 0.250 0.097 0.652
4 Se 0.750 0.881 0.873
5 Se 0.250 0.619 0.373
6 Ag 0.750 0.903 0.348
7 Se 0.010 0.813 0.656
8 Se 0.250 0.119 0.127
9 Ag 0.250 0.597 0.848
10 Se 0.490 0.313 0.844
11 Se 0.010 0.313 0.844
12 Se 0.990 0.187 0.344
13 Se 0.490 0.813 0.656
14 Se 0.510 0.687 0.156
15 Se 0.750 0.381 0.627
16 Se 0.510 0.187 0.344

Calculated values
**Electronic total energy**: -3.631 eV per atom
**Raw formation energy**: 0.084 eV/atom
**SG**: Pnma, No. 62
**Crystal system**: orthorhombic
**M_tot**: 0.000 μB/atom

9.
Here is a relaxed Y2ScAl crystal from Alexandria. Energies are from PBEsol.

a = 3.455 Å, b = 4.402 Å, c = 6.507 Å
α = 90.00°, β = 90.00°, γ = 90.00°
Fractional positions:
1 Al 0.500 0.500 0.000
2 Y 0.000 0.000 0.759
3 Sc 0.500 0.500 0.500
4 Y 0.000 0.000 0.241

Calculated values
**Electronic total energy**: -6.248 eV per atom
**E_form**: -0.16 eV/atom
**SG**: Pmmm, No. 47
**Crystal system**: orthorhombic
**M_tot**: 0.000 μB/atom

10.
Here is a relaxed Ba2AlAs crystal from Alexandria. Energies are from PBEsol.

a = 4.481 Å, b = 5.303 Å, c = 5.303 Å
α = 90.00°, β = 90.00°, γ = 90.00°
Fractional positions:
1 Ba 0.000 0.500 0.000
2 As 0.500 0.500 0.500
3 Ba 0.000 0.000 0.500
4 Al 0.500 0.000 0.000

Calculated values
**Electronic total energy**: -3.818 eV per atom
**E_form**: -0.44 eV/atom
**SG**: P4/mmm, No. 123
**Excess energy over the best structure of this formula in the dataset**: 0 meV per atom
**Crystal system**: tetragonal
**M_tot**: 0.000 μB/atom

11.
Here is a relaxed LiW3O9F crystal from Alexandria. Energies are from PBEsol.

a = 7.365 Å, b = 7.395 Å, c = 8.384 Å
α = 77.55°, β = 64.33°, γ = 60.13°
Fractional positions:
1 O 0.819 0.045 0.992
2 O 0.460 0.032 0.995
3 O 0.663 0.248 0.742
4 O 0.246 0.469 0.984
5 O 0.397 0.255 0.247
6 O 0.251 0.822 0.989
7 O 0.141 0.251 0.760
8 F 0.900 0.244 0.241
9 O 0.818 0.678 0.999
10 W 0.752 0.748 0.513
11 O 0.714 0.531 0.484
12 W 0.500 0.252 0.013
13 Li 0.939 0.255 0.003
14 W 0.262 0.266 0.530
15 O 0.073 0.178 0.489
16 O 0.865 0.955 0.492
17 O 0.496 0.322 0.499
18 O 0.492 0.968 0.495
19 W 0.792 0.232 0.505
20 W 0.024 0.768 0.005
21 O 0.911 0.752 0.242
22 O 0.652 0.745 0.747
23 O 0.067 0.544 0.499
24 W 0.528 0.734 0.030
25 O 0.611 0.456 0.999
26 Li 0.194 0.745 0.503
27 O 0.393 0.749 0.260
28 F 0.144 0.756 0.741

Calculated values
**Electronic total energy**: -8.838 eV per atom
**Raw formation energy**: -2.226 eV/atom
**SG**: Cc, No. 9
**Crystal system**: monoclinic
**M_tot**: 0.000 μB/atom

12.
Here is a relaxed LiDy2Ga crystal from Alexandria. Energies are from PBEsol.

a = 5.014 Å, b = 5.014 Å, c = 5.014 Å
α = 60.00°, β = 60.00°, γ = 60.00°
Fractional positions:
1 Ga 0.500 0.500 0.500
2 Dy 0.250 0.250 0.250
3 Li 0.000 0.000 0.000
4 Dy 0.750 0.750 0.750

Calculated values
**Electronic total energy**: -4.134 eV per atom
**E_form**: -0.32 eV/atom
**SG**: Fm-3m, No. 225
**Crystal system**: cubic
**M_tot**: 0.000 μB/atom